# Tb2Pr5NdDy

A geometry-optimized Tb2Pr5NdDy structure (PBE-GGA, Alexandria).

a b c (Å): 5.7183 20.6470 10.8056
angles (deg): 90.00 90.00 90.00
With the nearest neighbours (Å) after each atom.
Space group Cmc2_1 (No. 36)
Asymmetric unit:
1 Tb 0.0000 0.1112 0.0000 (multiplicity 4)  1 Nd 3.47, 7 Pr 3.52-3.82, 2 Dy 3.75
2 Tb 0.0000 0.1165 0.5785 (multiplicity 4)  8 Pr 3.38-3.65, 1 Nd 3.74
3 Pr 0.0000 0.0157 0.2831 (multiplicity 4)  2 Dy 3.32, 3 Tb 3.51-3.64
4 Pr 0.0000 0.2804 0.5728 (multiplicity 4)  1 Dy 3.11, 1 Tb 3.38, 2 Pr 3.46
5 Pr 0.0000 0.2956 0.9655 (multiplicity 4)  3 Pr 3.46-3.84, 1 Dy 3.53, 3 Nd 3.54-3.85, 3 Tb 3.60-3.82
6 Pr 0.0000 0.3898 0.2876 (multiplicity 4)  6 Pr 3.57-3.99, 4 Tb 3.65-3.67, 1 Nd 3.91
7 Pr 0.0000 0.4803 0.0062 (multiplicity 4)  2 Dy 3.26-3.41, 2 Pr 3.57, 2 Tb 3.58
8 Nd 0.0000 0.2005 0.2719 (multiplicity 4)  2 Tb 3.47-3.74, 7 Pr 3.54-3.85, 2 Dy 3.69
9 Dy 0.0000 0.4091 0.7217 (multiplicity 4)  5 Pr 3.11-3.41

Properties
Its crystal system is orthorhombic. The energy of formation comes out at 139 meV per atom.


# La4CdIn2Ga

A geometry-optimized La4CdIn2Ga structure (PBE-GGA, Alexandria).

a b c (Å): 5.5382 5.5382 27.0505
angles (deg): 90.00 90.00 120.00
With the nearest neighbours (Å) after each atom.
Space group R-3m (No. 166, hexagonal axes)
Asymmetric unit:
1 La 0.0000 0.0000 0.1199 (multiplicity 6)  1 Ga 3.24, 4 In 3.31-3.38, 3 Cd 3.44
2 La 0.0000 0.0000 0.3705 (multiplicity 6)  3 Ga 3.35, 4 In 3.40-3.49, 1 Cd 3.50
3 Cd 0.0000 0.0000 0.5000 (multiplicity 3)  8 La 3.44-3.50, 6 In 3.83
4 In 0.0000 0.0000 0.2448 (multiplicity 6)  8 La 3.31-3.49
5 Ga 0.0000 0.0000 0.0000 (multiplicity 3)  8 La 3.24-3.35

Properties
Its crystal system is trigonal. The energy of formation comes out at -479 meV per atom.


# ZrGaTcH2

A geometry-optimized ZrGaTcH2 structure (PBE-GGA, Alexandria).

a b c (Å): 3.4884 10.1910 6.3581
angles (deg): 90.00 90.00 90.00
With the nearest neighbours (Å) after each atom.
Space group Cmcm (No. 63)
Asymmetric unit:
1 Zr 0.0000 0.1908 0.2500 (multiplicity 4)  6 H 2.16-2.35
2 Ga 0.0000 0.0946 0.7500 (multiplicity 4)  4 Tc 2.55, 6 H 2.67-2.72, 2 Zr 2.80
3 Tc 0.0000 0.5000 0.0000 (multiplicity 4)  2 H 1.82
4 H 0.0000 0.3246 0.5506 (multiplicity 8)  1 Tc 1.82

Properties
Its crystal system is orthorhombic. The value obtained for the electronic total energy is -6.15 eV per atom.


# NdAl11O18

A geometry-optimized NdAl11O18 structure (PBE-GGA, Alexandria).

a b c (Å): 9.5222 5.7912 12.3442
angles (deg): 90.00 112.69 90.00
With the nearest neighbours (Å) after each atom.
Space group C2/m (No. 12)
Asymmetric unit:
1 Nd 0.0000 0.0000 0.0000 (multiplicity 2)  8 O 2.41-2.61
2 Al 0.0000 0.0000 0.5000 (multiplicity 2)  6 O 1.95-2.15
3 Al 0.1235 0.2520 0.2911 (multiplicity 8)  5 O 1.82-1.99
4 Al 0.1966 0.5000 0.8153 (multiplicity 4)  4 O 1.70-1.88
5 Al 0.2149 0.5000 0.5018 (multiplicity 4)  6 O 1.87-2.08
6 Al 0.2322 0.0000 0.8753 (multiplicity 4)  4 O 1.74-1.80
7 O 0.0029 0.5000 0.7606 (multiplicity 4)  3 Al 1.70-1.82
8 O 0.0281 0.0000 0.7981 (multiplicity 4)  1 Al 1.80
9 O 0.1008 0.2259 0.4379 (multiplicity 8)  4 Al 1.91-2.08
10 O 0.1811 0.2530 0.1591 (multiplicity 8)  3 Al 1.78-1.91
11 O 0.2283 0.0000 0.6302 (multiplicity 4)  3 Al 1.90-1.99
12 O 0.2363 0.5000 0.9764 (multiplicity 4)  2 Al 1.74-1.88
13 O 0.2373 0.5000 0.6590 (multiplicity 4)  3 Al 1.87-1.91

Properties
The uncorrected formation energy comes out at -2943 meV per atom. Its crystal system is monoclinic.


# Dy5Al2Cd

A geometry-optimized Dy5Al2Cd structure (PBE-GGA, Alexandria).

a b c (Å): 7.7074 7.7074 14.8304
angles (deg): 90.00 90.00 90.00
With the nearest neighbours (Å) after each atom.
Space group I4/mcm (No. 140)
Asymmetric unit:
1 Dy 0.0000 0.0000 0.0000 (multiplicity 4)  4 Al 3.07
2 Dy 0.1693 0.3307 0.1464 (multiplicity 16)  3 Al 3.14-3.15, 2 Cd 3.25
3 Al 0.1211 0.3789 0.5000 (multiplicity 8)  1 Al 2.64
4 Cd 0.0000 0.0000 0.2500 (multiplicity 4)  8 Dy 3.25

Properties
Its crystal system is tetragonal. The energy of formation comes out at -258 meV per atom.


# Tl2ZnSb

A geometry-optimized Tl2ZnSb structure (PBE-GGA, Alexandria).

a b c (Å): 3.3864 3.3864 9.6118
angles (deg): 90.00 90.00 90.00
With the nearest neighbours (Å) after each atom.
Space group P4/mmm (No. 123)
Asymmetric unit:
1 Tl 0.0000 0.0000 0.2343 (multiplicity 2)  4 Zn 3.29, 4 Tl 3.39, 4 Sb 3.50
2 Zn 0.5000 0.5000 0.0000 (multiplicity 1)  8 Tl 3.29, 4 Zn 3.39
3 Sb 0.5000 0.5000 0.5000 (multiplicity 1)  4 Sb 3.39, 8 Tl 3.50

Properties
The uncorrected formation energy comes out at 143 meV per atom. Its crystal system is tetragonal.


# Tb2PrS4

A geometry-optimized Tb2PrS4 structure (PBE-GGA, Alexandria).

a b c (Å): 3.8951 13.0721 13.2956
angles (deg): 90.00 90.00 90.00
With the nearest neighbours (Å) after each atom.
Space group Cmcm (No. 63)
Asymmetric unit:
1 Tb 0.0000 0.1298 0.0682 (multiplicity 8)  6 S 2.70-2.80
2 Pr 0.0000 0.3758 0.2500 (multiplicity 4)  6 S 2.87-2.94
3 S 0.0000 0.0371 0.2500 (multiplicity 4)  2 Tb 2.70, 2 Pr 2.87
4 S 0.0000 0.2270 0.6193 (multiplicity 8)  3 Tb 2.79-2.80, 2 Pr 2.94
5 S 0.0000 0.5000 0.0000 (multiplicity 4)  4 Tb 2.74

Properties
The uncorrected formation energy comes out at -2072 meV per atom. Its crystal system is orthorhombic.


# C3Se

A geometry-optimized C3Se structure (PBE-GGA, Alexandria).

a b c (Å): 5.3433 5.3433 5.3433
angles (deg): 90.00 90.00 90.00
With the nearest neighbours (Å) after each atom.
Space group Fm-3m (No. 225)
Asymmetric unit:
1 C 0.0000 0.0000 0.0000 (multiplicity 4)  8 C 2.31
2 C 0.2500 0.2500 0.2500 (multiplicity 8)  4 Se 2.31, 4 C 2.31
3 Se 0.0000 0.0000 0.5000 (multiplicity 4)  8 C 2.31

Properties
The uncorrected formation energy comes out at 3644 meV per atom. Its crystal system is cubic.


# MnSb2Au

A geometry-optimized MnSb2Au structure (PBE-GGA, Alexandria).

a b c (Å): 7.7371 3.8529 6.3087
angles (deg): 90.00 106.62 90.00
With the nearest neighbours (Å) after each atom.
Space group C2/m (No. 12)
Asymmetric unit:
1 Mn 0.0000 0.0000 0.0000 (multiplicity 2)  6 Sb 2.77-2.78
2 Sb 0.2400 0.5000 0.2261 (multiplicity 4)  3 Mn 2.77-2.78, 3 Au 2.88-2.96
3 Au 0.0000 0.5000 0.5000 (multiplicity 2)  6 Sb 2.88-2.96

Properties
The uncorrected formation energy comes out at 142 meV per atom. Its crystal system is monoclinic.


# DyGe3Ir3

A geometry-optimized DyGe3Ir3 structure (PBE-GGA, Alexandria).

a b c (Å): 6.8815 6.8815 20.5908
angles (deg): 90.00 90.00 120.00
With the nearest neighbours (Å) after each atom.
Space group R-3 (No. 148, hexagonal axes)
Asymmetric unit:
1 Dy 0.0000 0.0000 0.1720 (multiplicity 6)  3 Ir 2.92, 3 Ge 3.03
2 Ge 0.0298 0.4231 0.0631 (multiplicity 18)  3 Ir 2.40-2.49
3 Ir 0.0127 0.2514 0.9435 (multiplicity 18)  3 Ge 2.40-2.49

Properties
Its crystal system is trigonal. The energy of formation comes out at -452 meV per atom.


# ZrTaNb2N

A geometry-optimized ZrTaNb2N structure (PBE-GGA, Alexandria).

a b c (Å): 4.8807 4.8807 4.9360
angles (deg): 90.00 90.00 90.00
With the nearest neighbours (Å) after each atom.
Space group P4/mmm (No. 123)
Asymmetric unit:
1 Zr 0.0000 0.0000 0.0000 (multiplicity 1)  4 Nb 2.44, 2 Ta 2.47
2 Ta 0.0000 0.0000 0.5000 (multiplicity 1)  2 Zr 2.47
3 Nb 0.0000 0.5000 0.0000 (multiplicity 2)  2 Zr 2.44
4 N 0.5000 0.5000 0.5000 (multiplicity 1)  4 Ta 3.45, 8 Nb 3.47

Properties
The uncorrected formation energy comes out at 2858 meV per atom. Its crystal system is tetragonal.


# TbHo2Cd2

A geometry-optimized TbHo2Cd2 structure (PBE-GGA, Alexandria).

a b c (Å): 3.7115 5.3386 13.8352
angles (deg): 90.00 97.72 90.00
With the nearest neighbours (Å) after each atom.
Space group P2_1/m (No. 11)
Asymmetric unit:
1 Tb 0.1495 0.2500 0.2977 (multiplicity 2)  6 Cd 3.26-3.27, 2 Ho 3.59
2 Ho 0.0461 0.7500 0.0915 (multiplicity 2)  8 Cd 3.20-3.25
3 Ho 0.2358 0.7500 0.4724 (multiplicity 2)  2 Cd 3.20, 4 Ho 3.34
4 Cd 0.3588 0.2500 0.7180 (multiplicity 2)  4 Ho 3.20, 4 Tb 3.26
5 Cd 0.4493 0.7500 0.8988 (multiplicity 2)  6 Ho 3.23-3.25, 2 Tb 3.27

Properties
Its crystal system is monoclinic. The energy of formation comes out at -258 meV per atom.


# Sc4TlIr

A geometry-optimized Sc4TlIr structure (PBE-GGA, Alexandria).

a b c (Å): 8.3190 12.4153 5.6972
angles (deg): 90.00 108.41 90.00
With the nearest neighbours (Å) after each atom.
Space group C2/c (No. 15)
Asymmetric unit:
1 Sc 0.1107 0.1700 0.0537 (multiplicity 8)  2 Ir 2.68-2.70
2 Sc 0.2223 0.4240 0.3757 (multiplicity 8)  2 Ir 2.77-2.79, 1 Tl 3.07
3 Tl 0.0000 0.3731 0.7500 (multiplicity 4)  8 Sc 3.03-3.30
4 Ir 0.0000 0.0003 0.2500 (multiplicity 4)  8 Sc 2.68-2.79, 2 Ir 2.85

Properties
Its crystal system is monoclinic. The energy of formation comes out at -492 meV per atom.


# Ac4Pm6Y

A geometry-optimized Ac4Pm6Y structure (PBE-GGA, Alexandria).

a b c (Å): 7.1801 7.1801 16.7153
angles (deg): 90.00 90.00 90.00
With the nearest neighbours (Å) after each atom.
Space group I-42m (No. 121)
Asymmetric unit:
1 Ac 0.1948 0.1948 0.3197 (multiplicity 8)  1 Y 3.60, 5 Pm 3.66-3.98, 1 Ac 3.96
2 Pm 0.0000 0.5000 0.0000 (multiplicity 4)  4 Pm 3.16
3 Pm 0.1684 0.1684 0.1012 (multiplicity 8)  3 Pm 3.16-3.42
4 Y 0.0000 0.0000 0.5000 (multiplicity 2)  8 Pm 3.59-3.77, 4 Ac 3.60

Properties
Its crystal system is tetragonal. The energy of formation comes out at 251 meV per atom.


# InW

A geometry-optimized InW structure (PBE-GGA, Alexandria).

a b c (Å): 8.4227 8.4227 4.5866
angles (deg): 90.00 90.00 120.00
With the nearest neighbours (Å) after each atom.
Space group P6_3/mmc (No. 194)
Asymmetric unit:
1 In 0.2015 0.4031 0.2500 (multiplicity 6)  6 W 2.86-2.90
2 W 0.1170 0.5585 0.7500 (multiplicity 6)  4 W 2.73-2.86, 6 In 2.86-2.90

Properties
Its crystal system is hexagonal. The energy of formation comes out at 539 meV per atom.


# NaNd3Rh8

A geometry-optimized NaNd3Rh8 structure (PBE-GGA, Alexandria).

a b c (Å): 5.3757 5.3757 26.4993
angles (deg): 90.00 90.00 120.00
With the nearest neighbours (Å) after each atom.
Space group R3m (No. 160, hexagonal axes)
Asymmetric unit:
1 Na 0.0000 0.0000 0.0000 (multiplicity 3)  12 Rh 3.13-3.19, 4 Nd 3.21-3.24
2 Nd 0.0000 0.0000 0.1211 (multiplicity 3)  12 Rh 3.07-3.30, 1 Na 3.21, 3 Nd 3.36
3 Nd 0.0000 0.0000 0.5032 (multiplicity 3)  12 Rh 3.14-3.18, 4 Nd 3.36-3.42
4 Nd 0.0000 0.0000 0.6321 (multiplicity 3)  12 Rh 3.06-3.23, 3 Na 3.24, 1 Nd 3.42
5 Rh 0.0000 0.0000 0.3144 (multiplicity 3)  6 Rh 2.70
6 Rh 0.0000 0.0000 0.8145 (multiplicity 3)  6 Rh 2.70
7 Rh 0.0019 0.5010 0.0647 (multiplicity 9)  6 Rh 2.67-2.70
8 Rh 0.1670 0.3339 0.8977 (multiplicity 9)  6 Rh 2.68-2.70

Properties
Its crystal system is trigonal. The energy of formation comes out at -491 meV per atom.


# LaNdHgIr

A geometry-optimized LaNdHgIr structure (PBE-GGA, Alexandria).

a b c (Å): 4.2463 4.2463 7.6966
angles (deg): 90.00 90.00 120.00
With the nearest neighbours (Å) after each atom.
Space group P3m1 (No. 156)
Asymmetric unit:
1 La 0.0000 0.0000 0.0000 (multiplicity 1)  3 Ir 2.88
2 Nd 0.3333 0.6667 0.6054 (multiplicity 1)  3 Ir 2.89
3 Hg 0.6667 0.3333 0.3116 (multiplicity 1)  3 Nd 3.34, 3 La 3.43
4 Ir 0.6667 0.3333 0.8032 (multiplicity 1)  3 La 2.88, 3 Nd 2.89

Properties
Its crystal system is trigonal. The energy of formation comes out at -596 meV per atom.


# SmTh5C6

A geometry-optimized SmTh5C6 structure (PBE-GGA, Alexandria).

a b c (Å): 6.5249 11.2949 6.5259
angles (deg): 90.00 109.50 90.00
With the nearest neighbours (Å) after each atom.
Space group C2/m (No. 12)
Asymmetric unit:
1 Sm 0.0000 0.0000 0.0000 (multiplicity 2)  6 C 2.71
2 Th 0.0000 0.1661 0.5000 (multiplicity 4)  6 C 2.62-2.67
3 Th 0.0000 0.3329 0.0000 (multiplicity 4)  6 C 2.65-2.66
4 Th 0.0000 0.5000 0.5000 (multiplicity 2)  6 C 2.62-2.67
5 C 0.2439 0.5000 0.2529 (multiplicity 4)  5 Th 2.62-2.67, 1 Sm 2.71
6 C 0.2455 0.3299 0.7465 (multiplicity 8)  5 Th 2.62-2.67, 1 Sm 2.71

Properties
Its crystal system is monoclinic. The energy of formation comes out at -228 meV per atom.


| no. | D(E_F) (states/eV/f.u.) |
| --- | --- |
| 1 | 13.88 |
| 2 | 9.09 |
| 3 | 0.61 |
| 4 | 0.00 |
| 5 | 7.66 |
| 6 | 1.67 |
| 7 | 1.47 |
| 8 | 4.58 |
| 9 | 2.34 |
| 10 | 2.33 |
| 11 | 5.68 |
| 12 | 4.77 |
| 13 | 7.55 |
| 14 | 16.63 |
| 15 | 1.22 |
| 16 | 10.05 |
| 17 | 3.38 |
| 18 | 4.99 |